No. 1
DFT (PBE-GGA) results for crystalline BaFeC3 at its relaxed geometry.

```
5
Lattice="4.019 0.000 0.000 0.000 4.019 0.000 0.000 0.000 4.019" Properties=species:S:1:pos:R:3 pbc="T T T"
Ba 0.000 0.000 0.000
Fe 2.010 2.010 2.010
C 0.000 2.010 2.010
C 2.010 0.000 2.010
C 2.010 2.010 0.000
```

## Properties
The calculation puts the total energy at -30.46 eV for the cell shown. As for the total magnetization: 2.82 Bohr magnetons per cell. For the density of states at the Fermi level, the calculation gives 0.776 states/eV/atom.

No. 2
DFT (PBE-GGA) results for crystalline BaFeC2 at its relaxed geometry.

```
4
Lattice="0.000 3.074 3.074 3.074 0.000 3.074 3.074 3.074 0.000" Properties=species:S:1:pos:R:3 pbc="T T T"
Ba 0.000 0.000 0.000
Fe 3.074 3.074 3.074
C 1.537 1.537 1.537
C 4.612 4.612 4.612
```

## Properties
The calculation puts the total energy at -19.71 eV for the cell shown. As for the total magnetization: 0.00 Bohr magnetons per cell. For the density of states at the Fermi level, the calculation gives 0.779 states/eV/atom.

No. 3
DFT (PBE-GGA) results for crystalline Ba3FeC at its relaxed geometry.

```
5
Lattice="5.719 0.000 0.000 0.000 5.719 0.000 0.000 0.000 5.719" Properties=species:S:1:pos:R:3 pbc="T T T"
Ba 0.000 0.000 2.860
Ba 0.000 2.860 0.000
Ba 2.860 0.000 0.000
Fe 2.860 2.860 2.860
C 0.000 0.000 0.000
```

## Properties
The calculation puts the total energy at -18.97 eV for the cell shown. As for the total magnetization: 2.25 Bohr magnetons per cell. For the density of states at the Fermi level, the calculation gives 1.222 states/eV/atom.

No. 4
DFT (PBE-GGA) results for crystalline Ba2GaFeC at its relaxed geometry.

```
5
Lattice="6.232 0.000 0.000 0.000 6.232 0.000 0.000 0.000 4.530" Properties=species:S:1:pos:R:3 pbc="T T T"
Ba 0.000 3.116 0.000
Ba 3.116 0.000 0.000
Ga 0.000 0.000 0.000
Fe 0.000 0.000 2.265
C 3.116 3.116 2.265
```

## Properties
The calculation puts the total energy at -18.08 eV for the cell shown. As for the total magnetization: 4.26 Bohr magnetons per cell. For the density of states at the Fermi level, the calculation gives 1.135 states/eV/atom.

E_form values, unit eV per formula unit, following the record order: 7.59, 9.12, 4.48, 6.48.